Cu2HgPd4: optimized geometry, PBE.

```
Cu2HgPd4
1.0
6.725 0.000 0.000
0.000 5.442 0.000
-3.051 0.000 6.060
Cu Hg Pd
4 2 8
Direct
0.015 0.250 0.496
0.233 0.750 0.943
0.767 0.250 0.057
0.985 0.750 0.504
0.268 0.250 0.931
0.732 0.750 0.069
0.152 0.001 0.245
0.152 0.499 0.245
0.399 0.750 0.658
0.447 0.250 0.642
0.553 0.750 0.358
0.601 0.250 0.342
0.848 0.501 0.755
0.848 0.999 0.755
```

Output
E_tot in eV per formula unit: -29.2
Space-group type: P2_1/m (11)
E_form in meV/atom: 10